Entry 1:
Compound: K2Sn4Au5
Source: Alexandria
Functional: PBE-GGA
Structure: relaxed

abc: 9.9052 8.5202 6.9080
angles: 79.13 57.64 43.23
With the nearest neighbours (Å) after each atom.
Positions (direct):
K  0.1359  0.1359  0.8641  8 Sn 3.85-4.20, 10 Au 3.89-4.06, 1 K 4.26
K  0.8641  0.8641  0.1359  8 Sn 3.85-4.20, 10 Au 3.89-4.06, 1 K 4.26
Sn  0.2144  0.5335  0.4665  5 Au 2.76-2.81
Sn  0.4665  0.7856  0.2144  5 Au 2.76-2.81
Sn  0.5335  0.2144  0.7856  5 Au 2.76-2.81
Sn  0.7856  0.4665  0.5335  5 Au 2.76-2.81
Au  0.0000  0.0000  0.5000  4 Sn 2.81
Au  0.2500  0.2500  0.2500  4 Sn 2.78
Au  0.5000  0.5000  0.0000  4 Sn 2.81
Au  0.5000  0.5000  0.5000  4 Sn 2.76
Au  0.7500  0.7500  0.7500  4 Sn 2.78

Results
Total DFT energy (no corrections): -3.379 eV/atom
Space-group type: No. 69

Entry 2:
Compound: BaTl2Si
Source: Alexandria
Functional: PBE-GGA
Structure: relaxed

abc: 6.5934 6.5934 6.5934
angles: 146.96 126.71 64.15
With the nearest neighbours (Å) after each atom.
Positions (direct):
Ba  0.0000  0.0000  0.0000  4 Si 3.50, 2 Ba 3.75, 8 Tl 3.75-3.78
Tl  0.2936  0.7936  0.5000  2 Si 2.97
Tl  0.7064  0.2064  0.5000  2 Si 2.97
Si  0.5000  0.5000  0.0000  4 Tl 2.97

Results
E_form (uncorrected): -0.047 eV/atom
Total DFT energy (no corrections): -3.066 eV/atom
Energy above the most stable polymorph in this dataset: 69 meV per atom
Space-group type: No. 71

Entry 3:
Compound: RbTlS2
Source: Alexandria
Functional: PBE-GGA
Structure: relaxed

abc: 9.0419 9.0419 9.0419
angles: 27.94 27.94 27.94
With the nearest neighbours (Å) after each atom.
Positions (direct):
Rb  0.0000  0.0000  0.0000  4 S 3.08-3.38
Tl  0.5062  0.5062  0.5062  1 S 2.40
S  0.1298  0.1298  0.1298  3 Tl 2.76
S  0.5984  0.5984  0.5984  1 Tl 2.40

Results
E_form (uncorrected): -0.393 eV/atom
Total DFT energy (no corrections): -3.290 eV/atom
Energy above the most stable polymorph in this dataset: 243 meV per atom
Space-group type: No. 160

Entry 4:
Compound: Nb5SnGe2
Source: Alexandria
Functional: PBE-GGA
Structure: relaxed

abc: 7.8014 7.8014 7.8014
angles: 127.91 127.91 76.78
With the nearest neighbours (Å) after each atom.
Positions (direct):
Nb  0.0000  0.0000  0.0000  4 Ge 2.66
Nb  0.0112  0.5112  0.8177  3 Ge 2.68-2.72, 2 Sn 2.87
Nb  0.1934  0.0112  0.5000  3 Ge 2.68-2.72, 2 Sn 2.87
Nb  0.3066  0.8066  0.8177  3 Ge 2.68-2.72, 2 Sn 2.87
Nb  0.4888  0.3066  0.5000  3 Ge 2.68-2.72, 2 Sn 2.87
Nb  0.5000  0.5000  0.0000  4 Ge 2.66
Nb  0.5112  0.6934  0.5000  3 Ge 2.68-2.72, 2 Sn 2.87
Nb  0.6934  0.1934  0.1823  3 Ge 2.68-2.72, 2 Sn 2.87
Nb  0.8066  0.9888  0.5000  3 Ge 2.68-2.72, 2 Sn 2.87
Nb  0.9888  0.4888  0.1823  3 Ge 2.68-2.72, 2 Sn 2.87
Sn  0.2500  0.2500  0.0000  10 Nb 2.87-3.06
Sn  0.7500  0.7500  0.0000  10 Nb 2.87-3.06
Ge  0.1371  0.3629  0.5000  1 Ge 2.66, 8 Nb 2.66-2.72
Ge  0.3629  0.8629  0.2258  1 Ge 2.66, 8 Nb 2.66-2.72
Ge  0.6371  0.1371  0.7742  1 Ge 2.66, 8 Nb 2.66-2.72
Ge  0.8629  0.6371  0.5000  1 Ge 2.66, 8 Nb 2.66-2.72

Results
Total DFT energy (no corrections): -8.350 eV/atom
Space-group type: No. 140

Entry 5:
Compound: Y3Ga
Source: Alexandria
Functional: PBE-GGA
Structure: relaxed

abc: 9.1334 9.1334 9.1334
angles: 96.49 96.49 140.72
With the nearest neighbours (Å) after each atom.
Positions (direct):
Y  0.0836  0.0364  0.6125  3 Ga 3.05-3.21
Y  0.1123  0.4411  0.5983  4 Ga 3.04-3.21, 1 Y 3.40
Y  0.1271  0.3231  0.9652  2 Ga 3.08-3.17, 1 Y 3.42
Y  0.3579  0.1619  0.0348  2 Ga 3.08-3.17, 1 Y 3.42
Y  0.4239  0.4711  0.3875  3 Ga 3.05-3.21
Y  0.4861  0.8877  0.3289  4 Ga 3.04-3.21, 1 Y 3.40
Y  0.5289  0.9164  0.9528  3 Ga 3.05-3.21
Y  0.5589  0.1572  0.6711  4 Ga 3.04-3.21, 1 Y 3.40
Y  0.6769  0.6421  0.8040  2 Ga 3.08-3.17, 1 Y 3.42
Y  0.8381  0.8729  0.1960  2 Ga 3.08-3.17, 1 Y 3.42
Y  0.8428  0.5139  0.4017  4 Ga 3.04-3.21, 1 Y 3.40
Y  0.9636  0.5761  0.0472  3 Ga 3.05-3.21
Ga  0.0686  0.7201  0.7528  9 Y 3.04-3.21
Ga  0.2799  0.0328  0.3486  9 Y 3.04-3.21
Ga  0.6842  0.9314  0.6514  9 Y 3.04-3.21
Ga  0.9672  0.3158  0.2472  9 Y 3.04-3.21

Results
Total DFT energy (no corrections): -5.889 eV/atom
Space-group type: No. 82

Entry 6:
Compound: Ce4AsP2O
Source: Alexandria
Functional: PBE-GGA
Structure: relaxed

abc: 6.9275 6.9275 14.3056
angles: 90.00 90.00 145.97
With the nearest neighbours (Å) after each atom.
Positions (direct):
Ce  0.0000  0.0000  0.0000  4 P 2.85
Ce  0.0000  0.0000  0.5000  4 P 2.85
Ce  0.2730  0.7270  0.6234  1 O 2.30
Ce  0.2730  0.7270  0.8766  1 O 2.30
Ce  0.4296  0.5704  0.2500  2 O 2.39
Ce  0.5704  0.4296  0.7500  2 O 2.39
Ce  0.7270  0.2730  0.1234  1 O 2.30
Ce  0.7270  0.2730  0.3766  1 O 2.30
As  0.1036  0.8964  0.2500  6 Ce 3.07-3.17
As  0.8964  0.1036  0.7500  6 Ce 3.07-3.17
P  0.3626  0.6374  0.0593  6 Ce 2.85-2.87
P  0.3626  0.6374  0.4407  6 Ce 2.85-2.87
P  0.6374  0.3626  0.5593  6 Ce 2.85-2.87
P  0.6374  0.3626  0.9407  6 Ce 2.85-2.87
O  0.1664  0.8336  0.7500  4 Ce 2.30-2.39
O  0.8336  0.1664  0.2500  4 Ce 2.30-2.39

Results
E_form (uncorrected): -1.731 eV/atom
Total DFT energy (no corrections): -7.252 eV/atom
Space-group type: No. 63

Entry 7:
Compound: CePuPaGe
Source: Alexandria
Functional: PBE-GGA
Structure: relaxed

abc: 4.4792 4.4792 9.0774
angles: 90.00 90.00 90.00
With the nearest neighbours (Å) after each atom.
Positions (direct):
Ce  0.2500  0.7500  0.0000  4 Ce 3.17, 4 Ge 3.19, 4 Pu 3.38
Ce  0.7500  0.2500  0.0000  4 Ce 3.17, 4 Ge 3.19, 4 Pu 3.38
Pu  0.2500  0.2500  0.2788  4 Pa 3.01, 4 Ge 3.18
Pu  0.7500  0.7500  0.7212  4 Pa 3.01, 4 Ge 3.18
Pa  0.2500  0.7500  0.5000  4 Pu 3.01, 4 Pa 3.17, 4 Ge 3.19
Pa  0.7500  0.2500  0.5000  4 Pu 3.01, 4 Pa 3.17, 4 Ge 3.19
Ge  0.2500  0.2500  0.7505  4 Pu 3.18, 4 Ce 3.19, 4 Pa 3.19
Ge  0.7500  0.7500  0.2495  4 Pu 3.18, 4 Ce 3.19, 4 Pa 3.19

Results
Total DFT energy (no corrections): -8.894 eV/atom
Energy above the most stable polymorph in this dataset: 0 meV per atom
Space-group type: No. 129

Entry 8:
Compound: Ta3TiSb
Source: Alexandria
Functional: PBE-GGA
Structure: relaxed

abc: 4.9757 4.9757 4.9757
angles: 90.00 90.00 90.00
With the nearest neighbours (Å) after each atom.
Positions (direct):
Ta  0.0000  0.0000  0.5000  2 Sb 2.49
Ta  0.0000  0.5000  0.0000  2 Sb 2.49
Ta  0.5000  0.0000  0.0000  2 Sb 2.49
Ti  0.5000  0.5000  0.5000  12 Ta 3.52
Sb  0.0000  0.0000  0.0000  6 Ta 2.49

Results
E_form (uncorrected): 1.742 eV/atom
Total DFT energy (no corrections): -7.773 eV/atom
Energy above the most stable polymorph in this dataset: 479 meV per atom
Space-group type: No. 221